The following is a PBE+U calculation of an optimized crystal structure of BaMn5S6O24, from Alexandria.

- Symmetry: P-3
- Volume: 1484.14 Å³/cell
- VASP energy: -0.249 hartree per atom
- Spin magnetization: 75.00 μB per cell

Unit cell a=14.914 b=14.914 c=7.705 alpha=90.00 beta=90.00 gamma=120.00
Atoms (fractional coordinates):
Ba 0.000 0.000 0.000
Ba 0.333 0.667 0.501
Ba 0.667 0.333 0.499
Mn 0.000 0.000 0.500
Mn 0.003 0.653 0.534
Mn 0.005 0.321 0.049
Mn 0.316 0.995 0.049
Mn 0.321 0.316 0.951
Mn 0.333 0.667 0.002
Mn 0.347 0.350 0.534
Mn 0.350 0.003 0.466
Mn 0.650 0.997 0.534
Mn 0.653 0.650 0.466
Mn 0.667 0.333 0.998
Mn 0.679 0.684 0.049
Mn 0.684 0.005 0.951
Mn 0.995 0.679 0.951
Mn 0.997 0.347 0.466
S 0.098 0.229 0.739
S 0.105 0.537 0.763
S 0.131 0.902 0.739
S 0.204 0.766 0.238
S 0.229 0.131 0.261
S 0.234 0.438 0.238
S 0.432 0.895 0.763
S 0.438 0.204 0.762
S 0.463 0.568 0.763
S 0.537 0.432 0.237
S 0.562 0.796 0.238
S 0.568 0.105 0.237
S 0.766 0.562 0.762
S 0.771 0.869 0.739
S 0.796 0.234 0.762
S 0.869 0.098 0.261
S 0.895 0.463 0.237
S 0.902 0.771 0.261
O 0.032 0.578 0.755
O 0.045 0.921 0.695
O 0.046 0.262 0.614
O 0.059 0.225 0.919
O 0.073 0.457 0.897
O 0.079 0.123 0.695
O 0.090 0.787 0.736
O 0.108 0.496 0.587
O 0.119 0.366 0.262
O 0.123 0.045 0.305
O 0.133 0.732 0.090
O 0.153 0.711 0.402
O 0.166 0.941 0.919
O 0.211 0.624 0.803
O 0.213 0.302 0.736
O 0.216 0.954 0.614
O 0.225 0.166 0.081
O 0.247 0.881 0.262
O 0.252 0.544 0.202
O 0.262 0.216 0.386
O 0.268 0.402 0.090
O 0.289 0.442 0.402
O 0.292 0.748 0.202
O 0.302 0.090 0.264
O 0.366 0.247 0.738
O 0.376 0.586 0.803
O 0.384 0.927 0.897
O 0.388 0.892 0.587
O 0.402 0.133 0.910
O 0.414 0.789 0.803
O 0.422 0.454 0.755
O 0.442 0.153 0.598
O 0.454 0.032 0.245
O 0.456 0.708 0.202
O 0.457 0.384 0.103
O 0.496 0.388 0.413
O 0.504 0.612 0.587
O 0.543 0.616 0.897
O 0.544 0.292 0.798
O 0.546 0.968 0.755
O 0.558 0.847 0.402
O 0.578 0.546 0.245
O 0.586 0.211 0.197
O 0.598 0.867 0.090
O 0.612 0.108 0.413
O 0.616 0.073 0.103
O 0.624 0.414 0.197
O 0.634 0.753 0.262
O 0.698 0.910 0.736
O 0.708 0.252 0.798
O 0.711 0.558 0.598
O 0.732 0.598 0.910
O 0.738 0.784 0.614
O 0.748 0.456 0.798
O 0.753 0.119 0.738
O 0.775 0.834 0.919
O 0.784 0.046 0.386
O 0.787 0.698 0.264
O 0.789 0.376 0.197
O 0.834 0.059 0.081
O 0.847 0.289 0.598
O 0.867 0.268 0.910
O 0.877 0.955 0.695
O 0.881 0.634 0.738
O 0.892 0.504 0.413
O 0.910 0.213 0.264
O 0.921 0.877 0.305
O 0.927 0.543 0.103
O 0.941 0.775 0.081
O 0.954 0.738 0.386
O 0.955 0.079 0.305
O 0.968 0.422 0.245